No. 1
Material: AcSm2AgHg4
Method: DFT, GGA-PBE
State: relaxed

Values from the calculation:
- SG: R-3m
- DFT total energy: -2.570 eV/atom

Cell and atoms, written as POSCAR:
```
AcSm2AgHg4
1.0
5.178 0.000 0.000
2.589 4.484 0.000
2.589 1.495 9.536
Ac Hg Sm Ag
1 4 2 1
direct
0.000 0.000 0.000
0.611 0.611 0.166
0.389 0.389 0.834
0.126 0.126 0.623
0.874 0.874 0.377
0.765 0.765 0.704
0.235 0.235 0.296
0.500 0.500 0.500
```



No. 2
Material: MgCr2Co2
Method: DFT, GGA-PBE
State: relaxed

Values from the calculation:
- SG: P4/mbm
- DFT total energy: -6.823 eV/atom
- Energy above the most stable polymorph in this dataset: 0 kJ/mol of formula units

Cell and atoms, written as POSCAR:
```
MgCr2Co2
1.0
7.035 0.000 0.000
0.000 7.035 0.000
0.000 0.000 2.539
Co Mg Cr
4 2 4
direct
0.174 0.674 0.500
0.326 0.174 0.500
0.826 0.326 0.500
0.674 0.826 0.500
0.000 0.000 0.000
0.500 0.500 0.000
0.386 0.886 0.000
0.114 0.386 0.000
0.614 0.114 0.000
0.886 0.614 0.000
```



Number 1: total magnetization 0.00 μB per formula unit. Number 2: total magnetization 0.00 μB per formula unit.